No. 1
The following is a DFT calculation (PBE) of FeRh9W2 after structural relaxation.

POSCAR file:
```
FeRh9W2
1.0
3.854 0.000 0.000
0.000 3.854 0.000
0.000 0.000 11.542
Fe Rh W
1 9 2
Direct
0.000 0.000 0.000 Fe
0.000 0.500 0.168 Rh
0.000 0.500 0.500 Rh
0.000 0.500 0.832 Rh
0.500 0.000 0.168 Rh
0.500 0.000 0.500 Rh
0.500 0.000 0.832 Rh
0.500 0.500 0.000 Rh
0.500 0.500 0.334 Rh
0.500 0.500 0.666 Rh
0.000 0.000 0.327 W
0.000 0.000 0.673 W
```

- energy (eV for the cell shown) = -102.9

***

No. 2
The following is a DFT calculation (PBE) of FeRh3W after structural relaxation.

POSCAR file:
```
FeRh3W
1.0
4.674 0.000 0.000
0.000 4.674 0.000
0.000 0.000 4.674
Fe Rh W
1 3 1
Direct
0.000 0.000 0.000 Fe
0.000 0.500 0.500 Rh
0.500 0.000 0.500 Rh
0.500 0.500 0.000 Rh
0.500 0.500 0.500 W
```

- energy above the most stable polymorph in this dataset (eV/f.u.) = 0.00
- energy (eV for the cell shown) = -36.7

***

No. 3
The following is a DFT calculation (PBE) of FeRh6W2 after structural relaxation.

POSCAR file:
```
FeRh6W2
1.0
3.902 -6.726 0.000
3.902 6.726 0.000
-0.945 0.000 2.553
Fe Rh W
1 6 2
Direct
0.000 0.000 0.000 Fe
0.006 0.348 0.677 Rh
0.348 0.006 0.677 Rh
0.357 0.643 0.500 Rh
0.643 0.357 0.500 Rh
0.652 0.994 0.323 Rh
0.994 0.652 0.323 Rh
0.314 0.314 0.816 W
0.686 0.686 0.184 W
```

- energy (eV for the cell shown) = -77.8

***

no.,DFT formation energy (meV/atom),V (Å³/cell),density of states at the Fermi level (states/eV per atom)
1,-199,171,0.6108
2,1349,102,1.6025
3,75,134,1.1729